Record 1
First-principles (PBEsol) data for a geometry-optimized ReTcPt2 structure, as listed in the Alexandria database.

Properties
Size of the total moment = 0.00 μB per formula unit
DFT formation energy = -0.52 eV/f.u.
Space-group type = No. 25

Cell lengths 2.723, 4.407, 4.818 Å; angles 90.00, 90.00, 90.00 degrees
Positions (direct):
Re 0.000 0.000 0.000
Tc 0.000 0.500 0.691
Pt 0.500 0.000 0.508
Pt 0.500 0.500 0.184

---

Record 2
First-principles (PBEsol) data for a geometry-optimized Sr2CoAs structure, as listed in the Alexandria database.

Properties
Size of the total moment = 0.35 μB per formula unit
DFT formation energy = -1.60 eV/f.u.
Space-group type = No. 38

Cell lengths 4.287, 5.708, 5.708 Å; angles 47.62, 90.00, 90.00 degrees
Positions (direct):
Sr 0.000 0.000 0.000
Sr 0.500 0.290 0.290
Co 0.500 0.610 0.610
As 0.000 0.691 0.691

---

Record 3
First-principles (PBEsol) data for a geometry-optimized EuAu2 structure, as listed in the Alexandria database.

Properties
Size of the total moment = 7.01 μB per formula unit
DFT formation energy = -2.21 eV/f.u.
Space-group type = No. 74

Cell lengths 5.872, 5.872, 5.872 Å; angles 133.27, 106.08, 92.15 degrees
Positions (direct):
Eu 0.289 0.039 0.250
Eu 0.711 0.961 0.750
Au 0.121 0.663 0.458
Au 0.295 0.337 0.958
Au 0.705 0.663 0.042
Au 0.879 0.337 0.542

---

Record 4
First-principles (PBEsol) data for a geometry-optimized Li2CaAl structure, as listed in the Alexandria database.

Properties
Size of the total moment = 0.00 μB per formula unit
DFT formation energy = -0.26 eV/f.u.
Space-group type = No. 99

Cell lengths 3.381, 3.381, 7.742 Å; angles 90.00, 90.00, 90.00 degrees
Positions (direct):
Li 0.000 0.000 0.000
Li 0.500 0.500 0.208
Ca 0.500 0.500 0.666
Al 0.000 0.000 0.393

---

Record 5
First-principles (PBEsol) data for a geometry-optimized YNb2NO5 structure, as listed in the Alexandria database.

Properties
Size of the total moment = 0.00 μB per formula unit
Formation energy from raw total energies = -2236 kJ/mol of formula units
Space-group type = No. 1

Cell lengths 5.247, 5.638, 14.936 Å; angles 89.93, 89.90, 89.88 degrees
Positions (direct):
Y 0.000 0.000 0.000
Y 0.001 0.508 0.502
Y 0.506 0.041 0.500
Y 0.511 0.529 0.998
Nb 0.062 0.455 0.165
Nb 0.076 0.972 0.337
Nb 0.423 0.588 0.669
Nb 0.452 0.082 0.840
Nb 0.560 0.582 0.334
Nb 0.576 0.065 0.162
Nb 0.938 0.458 0.831
Nb 0.940 0.957 0.667
N 0.103 0.644 0.735
N 0.173 0.199 0.414
N 0.675 0.837 0.086
N 0.723 0.206 0.907
O 0.108 0.144 0.756
O 0.174 0.677 0.083
O 0.216 0.842 0.586
O 0.224 0.332 0.906
O 0.284 0.205 0.092
O 0.285 0.711 0.411
O 0.328 0.848 0.917
O 0.334 0.360 0.584
O 0.378 0.410 0.242
O 0.400 0.899 0.262
O 0.608 0.905 0.738
O 0.613 0.405 0.756
O 0.674 0.359 0.416
O 0.709 0.722 0.588
O 0.780 0.832 0.407
O 0.788 0.323 0.089
O 0.832 0.688 0.913
O 0.834 0.191 0.584
O 0.877 0.624 0.257
O 0.901 0.137 0.237

---

Record 6
First-principles (PBEsol) data for a geometry-optimized BeSnO2 structure, as listed in the Alexandria database.

Properties
Size of the total moment = 0.00 μB per formula unit
Formation energy from raw total energies = -531 kJ/mol of formula units
Space-group type = No. 166

Cell lengths 5.861, 5.861, 5.861 Å; angles 36.94, 36.94, 36.94 degrees
Positions (direct):
Be 0.000 0.000 0.000
Sn 0.500 0.500 0.500
O 0.088 0.088 0.088
O 0.912 0.912 0.912

---

Record 7
First-principles (PBEsol) data for a geometry-optimized Ta2InCo structure, as listed in the Alexandria database.

Properties
Size of the total moment = 0.01 μB per formula unit
DFT formation energy = 0.52 eV/f.u.
Space-group type = No. 38

Cell lengths 3.994, 5.823, 5.823 Å; angles 29.64, 90.00, 90.00 degrees
Positions (direct):
Ta 0.000 0.000 0.000
Ta 0.500 0.367 0.367
In 0.500 0.635 0.635
Co 0.000 0.782 0.782

---

Record 8
First-principles (PBEsol) data for a geometry-optimized LaHg2Cl structure, as listed in the Alexandria database.

Properties
Size of the total moment = 0.00 μB per formula unit
Formation energy from raw total energies = -342 kJ/mol of formula units
Space-group type = No. 47

Cell lengths 4.031, 4.224, 5.640 Å; angles 90.00, 90.00, 90.00 degrees
Positions (direct):
La 0.000 0.000 0.000
Hg 0.000 0.500 0.500
Hg 0.500 0.000 0.500
Cl 0.500 0.500 0.000